1.
A geometry-optimized NbBr structure, computed with PBE.

Lattice parameters (Å, degrees): 6.580 6.580 5.169 90.00 90.00 90.00
Fractional coordinates of all 8 atoms:
Br 0.789 0.211 0.000
Nb 0.617 0.617 0.000
Br 0.289 0.289 0.500
Nb 0.883 0.117 0.500
Br 0.711 0.711 0.500
Nb 0.117 0.883 0.500
Nb 0.383 0.383 0.000
Br 0.211 0.789 0.000

Computed properties:
Uncorrected formation energy = 41.8 kJ per mole of atoms
Space group = P4_2/mnm

=====

2.
A geometry-optimized BaNaN2 structure, computed with PBE.

Lattice parameters (Å, degrees): 4.659 4.659 4.659 60.00 60.00 60.00
Fractional coordinates of all 4 atoms:
Ba 0.500 0.500 0.500
Na 0.000 0.000 0.000
N 0.750 0.750 0.750
N 0.250 0.250 0.250

Computed properties:
Uncorrected formation energy = 64.1 kJ per mole of atoms
Space group = Fm-3m
Energy relative to the lowest polymorph listed for this composition = 0.000 eV/atom

=====

3.
A geometry-optimized CsNa6Tl8 structure, computed with PBE.

Lattice parameters (Å, degrees): 8.382 8.382 8.382 68.61 68.61 68.61
Fractional coordinates of all 15 atoms:
Na 0.384 0.607 0.154
Na 0.607 0.154 0.384
Tl 0.440 0.115 0.823
Tl 0.177 0.560 0.885
Tl 0.885 0.177 0.560
Na 0.393 0.846 0.616
Na 0.154 0.384 0.607
Na 0.616 0.393 0.846
Tl 0.560 0.885 0.177
Tl 0.115 0.823 0.440
Tl 0.823 0.440 0.115
Tl 0.230 0.230 0.230
Tl 0.770 0.770 0.770
Na 0.846 0.616 0.393
Cs 0.000 0.000 0.000

Computed properties:
Space group = R-3

=====

4.
A geometry-optimized CoB2Os structure, computed with PBE.

Lattice parameters (Å, degrees): 4.116 4.116 6.146 70.43 70.43 90.00
Fractional coordinates of all 8 atoms:
Os 0.750 0.250 0.500
Co 0.250 0.750 0.500
Os 0.000 0.000 0.000
B 0.875 0.846 0.750
B 0.154 0.625 0.250
B 0.375 0.404 0.750
Co 0.500 0.500 0.000
B 0.596 0.125 0.250

Computed properties:
Space group = I-42d
Energy relative to the lowest polymorph listed for this composition = 0.509 eV/atom

=====

5.
A geometry-optimized LiInSN2 structure, computed with PBE.

Lattice parameters (Å, degrees): 4.311 4.311 5.311 90.00 90.00 90.00
Fractional coordinates of all 5 atoms:
N 0.000 0.500 0.000
Li 0.500 0.500 0.500
N 0.500 0.000 0.000
In 0.000 0.000 0.000
S 0.000 0.000 0.500

Computed properties:
Uncorrected formation energy = 102.8 kJ per mole of atoms
Space group = P4/mmm
Energy relative to the lowest polymorph listed for this composition = 0.000 eV/atom

=====

6.
A geometry-optimized K3LaH structure, computed with PBE.

Lattice parameters (Å, degrees): 5.984 5.984 5.984 90.00 90.00 90.00
Fractional coordinates of all 5 atoms:
K 0.500 0.000 0.000
La 0.500 0.500 0.500
K 0.000 0.500 0.000
K 0.000 0.000 0.500
H 0.000 0.000 0.000

Computed properties:
Space group = Pm-3m
Energy relative to the lowest polymorph listed for this composition = 0.000 eV/atom

=====

Number 1: E_tot -5.44 eV per atom, DOS at the Fermi energy 3.2 states/eV per cell. Number 2: E_tot -4.31 eV per atom, DOS at the Fermi energy 1.6 states/eV per cell. Number 3: E_tot -1.90 eV per atom, DOS at the Fermi energy 5.2 states/eV per cell. Number 4: E_tot -7.32 eV per atom, DOS at the Fermi energy 5.9 states/eV per cell. Number 5: E_tot -4.02 eV per atom, DOS at the Fermi energy 2.2 states/eV per cell. Number 6: E_tot -1.87 eV per atom, DOS at the Fermi energy 6.6 states/eV per cell.